# 1
Compound: Rb4Pr3SbSe8
Source: Alexandria via LeMat-Bulk
Functional: GGA-PBE
Structure: relaxed

- Energy relative to the elements, uncorrected: -33.765 kcal/mol of atoms

Cell and atoms, written as POSCAR:
```
Rb4Pr3SbSe8
1.0
4.385 2.532 8.007
-4.385 2.532 8.007
0.000 -5.064 8.007
Rb Pr Sb Se
4 3 1 8
direct
0.000 0.000 0.000
0.000 0.500 0.500
0.500 0.000 0.500
0.500 0.500 0.000
0.000 0.000 0.500
0.000 0.500 0.000
0.500 0.000 0.000
0.500 0.500 0.500
0.234 0.234 0.234
0.240 0.730 0.730
0.270 0.270 0.760
0.270 0.760 0.270
0.730 0.240 0.730
0.730 0.730 0.240
0.760 0.270 0.270
0.766 0.766 0.766
```

---

# 2
Compound: YPuPa2As4
Source: Alexandria via LeMat-Bulk
Functional: GGA-PBE
Structure: relaxed

- ΔE_f: -0.97 eV per atom

Cell and atoms, written as POSCAR:
```
YPuPa2As4
1.0
7.036 0.000 0.000
0.000 4.110 0.000
-0.005 0.000 7.137
Y Pu Pa As
1 1 2 4
direct
0.000 0.000 0.000
0.000 0.500 0.500
0.500 0.000 0.000
0.500 0.500 0.500
0.254 0.500 0.837
0.255 0.000 0.329
0.745 0.000 0.671
0.746 0.500 0.163
```

---

# 3
Compound: GaFe3H
Source: Alexandria via LeMat-Bulk
Functional: GGA-PBE
Structure: relaxed

- Total DFT energy (no corrections): -55.519 eV for the cell shown

Cell and atoms, written as POSCAR:
```
GaFe3H
1.0
-2.067 2.067 8.817
2.067 -2.067 8.817
2.067 2.067 -8.817
Ga Fe H
2 6 2
direct
0.000 0.000 0.000
0.750 0.250 0.500
0.348 0.348 0.000
0.368 0.127 0.242
0.652 0.652 0.000
0.873 0.115 0.242
0.873 0.632 0.758
0.885 0.127 0.758
0.137 0.637 0.500
0.363 0.863 0.500
```

---

# 4
Compound: Be3PdN
Source: Alexandria via LeMat-Bulk
Functional: GGA-PBE
Structure: relaxed

- Excess energy over the best structure of this formula in the dataset: 0.000 eV/f.u.
- Energy relative to the elements, uncorrected: -6.838 kcal/mol of atoms

Cell and atoms, written as POSCAR:
```
Be3PdN
1.0
3.566 0.000 0.000
0.000 3.566 0.000
0.000 0.000 3.566
Be Pd N
3 1 1
direct
0.000 0.000 0.500
0.000 0.500 0.000
0.500 0.000 0.000
0.500 0.500 0.500
0.000 0.000 0.000
```

---

# 5
Compound: LaTlBiF2
Source: Alexandria via LeMat-Bulk
Functional: GGA-PBE
Structure: relaxed

- Energy relative to the elements, uncorrected: -50.664 kcal/mol of atoms

Cell and atoms, written as POSCAR:
```
LaTlBiF2
1.0
4.652 0.000 0.000
0.000 4.652 0.000
0.000 0.000 6.875
La Tl Bi F
1 1 1 2
direct
0.000 0.000 0.000
0.500 0.500 0.500
0.000 0.000 0.500
0.000 0.500 0.000
0.500 0.000 0.000
```

---

# 6
Compound: HfInS3
Source: Alexandria via LeMat-Bulk
Functional: GGA-PBE
Structure: relaxed

- Energy relative to the elements, uncorrected: -18.115 kcal/mol of atoms

Cell and atoms, written as POSCAR:
```
HfInS3
1.0
4.979 0.000 0.000
0.000 4.979 0.000
0.000 0.000 4.979
Hf In S
1 1 3
direct
0.000 0.000 0.000
0.500 0.500 0.500
0.000 0.000 0.500
0.000 0.500 0.000
0.500 0.000 0.000
```

---

# 7
Compound: Tl2ZnIr
Source: Alexandria via LeMat-Bulk
Functional: GGA-PBE
Structure: relaxed

- Excess energy over the best structure of this formula in the dataset: 0.512 eV/f.u.
- ΔE_f: 0.25 eV per atom

Cell and atoms, written as POSCAR:
```
Tl2ZnIr
1.0
3.969 0.000 0.000
0.000 4.187 0.000
-1.976 0.000 5.082
Tl Zn Ir
2 1 1
direct
0.000 0.000 0.000
0.300 0.500 0.600
0.580 0.500 0.160
0.717 0.000 0.437
```

---

# 8
Compound: Ni2GeS
Source: Alexandria via LeMat-Bulk
Functional: GGA-PBE
Structure: relaxed

- Excess energy over the best structure of this formula in the dataset: 0.831 eV/f.u.
- Energy relative to the elements, uncorrected: 1.495 kcal/mol of atoms

Cell and atoms, written as POSCAR:
```
Ni2GeS
1.0
0.000 2.960 2.960
2.960 0.000 2.960
2.960 2.960 0.000
Ni Ge S
2 1 1
direct
0.250 0.250 0.250
0.750 0.750 0.750
0.000 0.000 0.000
0.500 0.500 0.500
```

---

# 9
Compound: NiIr2Se
Source: Alexandria via LeMat-Bulk
Functional: GGA-PBE
Structure: relaxed

- Excess energy over the best structure of this formula in the dataset: 0.652 eV/f.u.
- Energy relative to the elements, uncorrected: 9.276 kcal/mol of atoms

Cell and atoms, written as POSCAR:
```
NiIr2Se
1.0
-2.006 2.006 3.552
2.006 -2.006 3.552
2.006 2.006 -3.552
Ni Ir Se
1 2 1
direct
0.000 0.000 0.000
0.250 0.750 0.500
0.750 0.250 0.500
0.500 0.500 0.000
```

---

# 10
Compound: BaCr2As
Source: Alexandria via LeMat-Bulk
Functional: GGA-PBE
Structure: relaxed

- ΔE_f: 0.47 eV per atom

Cell and atoms, written as POSCAR:
```
BaCr2As
1.0
-1.783 2.877 5.062
1.783 -2.877 5.062
1.783 2.877 -5.062
Ba Cr As
1 2 1
direct
0.000 0.000 0.000
0.318 0.818 0.500
0.682 0.182 0.500
0.500 0.500 0.000
```

---

# 11
Compound: Li2ScSnN
Source: Alexandria via LeMat-Bulk
Functional: GGA-PBE
Structure: relaxed

- Excess energy over the best structure of this formula in the dataset: 0.000 eV/f.u.
- Energy relative to the elements, uncorrected: -14.304 kcal/mol of atoms

Cell and atoms, written as POSCAR:
```
Li2ScSnN
1.0
4.338 0.000 0.000
0.000 4.338 0.000
0.000 0.000 4.221
Li Sc Sn N
2 1 1 1
direct
0.000 0.500 0.000
0.500 0.000 0.000
0.000 0.000 0.500
0.500 0.500 0.500
0.000 0.000 0.000
```

---

# 12
Compound: MgCu2HAu
Source: Alexandria via LeMat-Bulk
Functional: GGA-PBE
Structure: relaxed

- Total DFT energy (no corrections): -16.971 eV for the cell shown

Cell and atoms, written as POSCAR:
```
MgCu2HAu
1.0
3.853 0.000 0.000
0.000 3.853 0.000
0.000 0.000 4.154
Mg Cu H Au
1 2 1 1
direct
0.000 0.000 0.000
0.000 0.500 0.500
0.500 0.000 0.500
0.000 0.000 0.500
0.500 0.500 0.000
```